DFT (PBE) results for a relaxed HfInPd2 crystal.

Values from the calculation:
Total magnetic moment   0.00 μB/cell
Symmetry   I-42d
Final energy   -47.99 eV per cell
Energy relative to the elements   -88 kJ/mol of formula units

Cell lengths 5.9879, 5.9879, 5.9879 Å; angles 103.87, 103.87, 121.38 degrees
Last column: nearest neighbours and their distance in Å.
Atoms (fractional coordinates):
1 Hf 0.0000 0.0000 0.0000  4 Pd 2.64, 2 In 2.93
2 Hf 0.7500 0.2500 0.5000  4 Pd 2.64, 2 In 2.93
3 In 0.2500 0.7500 0.5000  4 Pd 2.78, 2 Hf 2.93
4 In 0.5000 0.5000 0.0000  4 Pd 2.78, 2 Hf 2.93
5 Pd 0.1114 0.6250 0.9864  2 Hf 2.64, 2 In 2.78, 2 Pd 2.94
6 Pd 0.3750 0.3614 0.4864  2 Hf 2.64, 2 In 2.78, 2 Pd 2.94
7 Pd 0.6386 0.1250 0.0136  2 Hf 2.64, 2 In 2.78, 2 Pd 2.94
8 Pd 0.8750 0.8886 0.5136  2 Hf 2.64, 2 In 2.78, 2 Pd 2.94

---

DFT (PBE) results for a relaxed HfInPd crystal.

Values from the calculation:
Total magnetic moment   0.00 μB/cell
Symmetry   I4mm
Final energy   -19.22 eV per cell
Energy relative to the elements   -128 kJ/mol of formula units

Cell lengths 6.0509, 6.0509, 6.0509 Å; angles 149.15, 149.15, 44.20 degrees
Last column: nearest neighbours and their distance in Å.
Atoms (fractional coordinates):
1 Hf 0.0000 0.0000 0.0000  4 Pd 2.84, 4 In 3.11
2 In 0.3109 0.3109 0.0000  4 Pd 2.90, 4 Hf 3.11, 4 In 3.22
3 Pd 0.6510 0.6510 0.0000  4 Hf 2.84, 4 In 2.90

---

DFT (PBE) results for a relaxed HfInPd2 crystal.

Values from the calculation:
Total magnetic moment   0.00 μB/cell
Symmetry   R3m
Final energy   -24.85 eV per cell
Energy relative to the elements   -171 kJ/mol of formula units

Cell lengths 8.5613, 8.5613, 8.5613 Å; angles 21.98, 21.98, 21.98 degrees
Last column: nearest neighbours and their distance in Å.
Atoms (fractional coordinates):
1 Hf 0.0000 0.0000 0.0000  6 Pd 2.75
2 In 0.8335 0.8335 0.8335  6 Pd 2.87-2.88
3 Pd 0.4131 0.4131 0.4131  3 Hf 2.75, 3 In 2.88
4 Pd 0.5868 0.5868 0.5868  3 Hf 2.75, 3 In 2.87

---

DFT (PBE) results for a relaxed Hf6In2Pd crystal.

Values from the calculation:
Total magnetic moment   0.00 μB/cell
Symmetry   C2/m
Final energy   -68.13 eV per cell
Energy relative to the elements   218 kJ/mol of formula units

Cell lengths 8.0668, 8.0668, 4.6399 Å; angles 106.60, 106.60, 49.69 degrees
Last column: nearest neighbours and their distance in Å.
Atoms (fractional coordinates):
1 Hf 0.0793 0.5999 0.3398  1 Pd 2.76, 3 In 2.92
2 Hf 0.2335 0.7665 0.0000  2 Pd 2.81, 2 In 2.92
3 Hf 0.4001 0.9207 0.6602  1 Pd 2.76, 3 In 2.92
4 Hf 0.5999 0.0793 0.3398  1 Pd 2.76, 3 In 2.92
5 Hf 0.7665 0.2335 0.0000  2 Pd 2.81, 2 In 2.92
6 Hf 0.9207 0.4001 0.6602  1 Pd 2.76, 3 In 2.92
7 In 0.3348 0.3348 0.8351  8 Hf 2.92
8 In 0.6652 0.6652 0.1649  8 Hf 2.92
9 Pd 0.0000 0.0000 0.5000  8 Hf 2.76-2.81

---

DFT (PBE) results for a relaxed Hf2InPd crystal.

Values from the calculation:
Total magnetic moment   0.00 μB/cell
Symmetry   R-3m
Final energy   -28.67 eV per cell
Energy relative to the elements   -80 kJ/mol of formula units

Cell lengths 9.7954, 9.7954, 9.7954 Å; angles 18.41, 18.41, 18.41 degrees
Last column: nearest neighbours and their distance in Å.
Atoms (fractional coordinates):
1 Hf 0.2437 0.2437 0.2437  3 Pd 2.87, 6 Hf 3.13, 3 In 3.16
2 Hf 0.7563 0.7563 0.7563  3 Pd 2.87, 6 Hf 3.13, 3 In 3.16
3 In 0.0000 0.0000 0.0000  6 In 3.13, 6 Hf 3.16
4 Pd 0.5000 0.5000 0.5000  6 Hf 2.87, 6 Pd 3.13

---

DFT (PBE) results for a relaxed Hf2InPd crystal.

Values from the calculation:
Total magnetic moment   0.00 μB/cell
Symmetry   P4/nmm
Final energy   -58.91 eV per cell
Energy relative to the elements   -156 kJ/mol of formula units

Cell lengths 4.4168, 4.4168, 8.1981 Å; angles 90.00, 90.00, 90.00 degrees
Last column: nearest neighbours and their distance in Å.
Atoms (fractional coordinates):
1 Hf 0.2500 0.2500 0.2153  4 Pd 2.83, 4 In 3.13
2 Hf 0.2500 0.7500 0.5000  8 Hf 3.12-3.21, 4 In 3.13
3 Hf 0.7500 0.2500 0.5000  8 Hf 3.12-3.21, 4 In 3.13
4 Hf 0.7500 0.7500 0.7847  4 Pd 2.83, 4 In 3.13
5 In 0.2500 0.2500 0.7710  4 Pd 2.90, 8 Hf 3.13
6 In 0.7500 0.7500 0.2290  4 Pd 2.90, 8 Hf 3.13
7 Pd 0.2500 0.7500 0.0000  4 Hf 2.83, 4 In 2.90, 4 Pd 3.12
8 Pd 0.7500 0.2500 0.0000  4 Hf 2.83, 4 In 2.90, 4 Pd 3.12

---

DFT (PBE) results for a relaxed Hf2InPd9 crystal.

Values from the calculation:
Total magnetic moment   0.00 μB/cell
Symmetry   P4/mmm
Final energy   -78.52 eV per cell
Energy relative to the elements   -882 kJ/mol of formula units

Cell lengths 4.0174, 4.0174, 12.0889 Å; angles 90.00, 90.00, 90.00 degrees
Last column: nearest neighbours and their distance in Å.
Atoms (fractional coordinates):
1 Hf 0.0000 0.0000 0.1681  12 Pd 2.79-2.86
2 Hf 0.0000 0.0000 0.8319  12 Pd 2.79-2.86
3 In 0.0000 0.0000 0.5000  12 Pd 2.84-2.89
4 Pd 0.0000 0.5000 0.0000  8 Pd 2.83-2.84, 4 Hf 2.86
5 Pd 0.0000 0.5000 0.3280  2 Hf 2.79, 8 Pd 2.82-2.89, 2 In 2.89
6 Pd 0.0000 0.5000 0.6720  2 Hf 2.79, 8 Pd 2.82-2.89, 2 In 2.89
7 Pd 0.5000 0.0000 0.0000  8 Pd 2.83-2.84, 4 Hf 2.86
8 Pd 0.5000 0.0000 0.3280  2 Hf 2.79, 8 Pd 2.82-2.89, 2 In 2.89
9 Pd 0.5000 0.0000 0.6720  2 Hf 2.79, 8 Pd 2.82-2.89, 2 In 2.89
10 Pd 0.5000 0.5000 0.1644  8 Pd 2.82-2.83, 4 Hf 2.84
11 Pd 0.5000 0.5000 0.5000  4 In 2.84, 8 Pd 2.89
12 Pd 0.5000 0.5000 0.8356  8 Pd 2.82-2.83, 4 Hf 2.84

---

DFT (PBE) results for a relaxed Hf3InPd4 crystal.

Values from the calculation:
Total magnetic moment   0.00 μB/cell
Symmetry   P4/mmm
Final energy   -58.37 eV per cell
Energy relative to the elements   -482 kJ/mol of formula units

Cell lengths 4.8270, 4.8270, 6.2785 Å; angles 90.00, 90.00, 90.00 degrees
Last column: nearest neighbours and their distance in Å.
Atoms (fractional coordinates):
1 Hf 0.0000 0.0000 0.0000  8 Pd 2.84, 2 Hf 3.14
2 Hf 0.0000 0.0000 0.5000  8 Pd 2.92, 2 Hf 3.14
3 Hf 0.5000 0.5000 0.0000  8 Pd 2.84, 2 In 3.14
4 In 0.5000 0.5000 0.5000  8 Pd 2.92, 2 Hf 3.14
5 Pd 0.0000 0.5000 0.2375  6 Hf 2.84-2.92, 2 In 2.92, 1 Pd 2.98
6 Pd 0.0000 0.5000 0.7625  6 Hf 2.84-2.92, 2 In 2.92, 1 Pd 2.98
7 Pd 0.5000 0.0000 0.2375  6 Hf 2.84-2.92, 2 In 2.92, 1 Pd 2.98
8 Pd 0.5000 0.0000 0.7625  6 Hf 2.84-2.92, 2 In 2.92, 1 Pd 2.98

---

DFT (PBE) results for a relaxed Hf2InPd3 crystal.

Values from the calculation:
Total magnetic moment   0.00 μB/cell
Symmetry   P-3m1
Final energy   -84.45 eV per cell
Energy relative to the elements   -386 kJ/mol of formula units
E above lowest polymorph   0.0 meV/atom

Cell lengths 4.6770, 4.6770, 11.5502 Å; angles 90.00, 90.00, 120.00 degrees
Last column: nearest neighbours and their distance in Å.
Atoms (fractional coordinates):
1 Hf 0.0000 0.0000 0.0000  8 Pd 2.79-2.80
2 Hf 0.0000 0.0000 0.5000  8 Pd 2.84-2.99
3 Hf 0.3333 0.6667 0.1768  8 Pd 2.77-3.00
4 Hf 0.6667 0.3333 0.8232  8 Pd 2.77-3.00
5 In 0.3333 0.6667 0.6686  8 Pd 2.83-3.09
6 In 0.6667 0.3333 0.3314  8 Pd 2.83-3.09
7 Pd 0.0000 0.0000 0.2414  5 Hf 2.79-2.99, 3 In 2.89
8 Pd 0.0000 0.0000 0.7586  5 Hf 2.79-2.99, 3 In 2.89
9 Pd 0.3333 0.6667 0.4232  4 In 2.83-2.90, 4 Hf 2.84-2.85
10 Pd 0.3333 0.6667 0.9365  7 Hf 2.77-3.00, 3 Pd 3.07, 1 In 3.09
11 Pd 0.6667 0.3333 0.0635  7 Hf 2.77-3.00, 3 Pd 3.07, 1 In 3.09
12 Pd 0.6667 0.3333 0.5768  4 In 2.83-2.90, 4 Hf 2.84-2.85

---

DFT (PBE) results for a relaxed HfIn5Pd6 crystal.

Values from the calculation:
Total magnetic moment   0.00 μB/cell
Symmetry   Cmmm
Final energy   -61.46 eV per cell
Energy relative to the elements   -643 kJ/mol of formula units

Cell lengths 7.3464, 7.3464, 6.6482 Å; angles 90.00, 90.00, 142.95 degrees
Last column: nearest neighbours and their distance in Å.
Atoms (fractional coordinates):
1 Hf 0.0000 0.0000 0.0000  8 Pd 2.80-2.82
2 In 0.0000 0.0000 0.5000  8 Pd 2.83-2.91
3 In 0.3323 0.6677 0.0000  8 Pd 2.82-2.87
4 In 0.3353 0.6647 0.5000  8 Pd 2.88-2.93
5 In 0.6647 0.3353 0.5000  8 Pd 2.88-2.93
6 In 0.6677 0.3323 0.0000  8 Pd 2.82-2.87
7 Pd 0.1631 0.8369 0.2466  1 Hf 2.80, 7 In 2.83-2.93
8 Pd 0.1631 0.8369 0.7534  1 Hf 2.80, 7 In 2.83-2.93
9 Pd 0.5000 0.5000 0.2378  2 Hf 2.82, 6 In 2.82-2.91
10 Pd 0.5000 0.5000 0.7622  2 Hf 2.82, 6 In 2.82-2.91
11 Pd 0.8369 0.1631 0.2466  1 Hf 2.80, 7 In 2.83-2.93
12 Pd 0.8369 0.1631 0.7534  1 Hf 2.80, 7 In 2.83-2.93

---

DFT (PBE) results for a relaxed HfIn2Pd6 crystal.

Values from the calculation:
Total magnetic moment   0.00 μB/cell
Symmetry   P-62m
Final energy   -51.66 eV per cell
Energy relative to the elements   -489 kJ/mol of formula units

Cell lengths 7.6409, 7.6409, 3.0793 Å; angles 90.00, 90.00, 120.00 degrees
Last column: nearest neighbours and their distance in Å.
Atoms (fractional coordinates):
1 Hf 0.0000 0.0000 0.0000  9 Pd 2.70-2.74
2 In 0.3333 0.6667 0.5000  9 Pd 2.72-2.90
3 In 0.6667 0.3333 0.5000  9 Pd 2.72-2.90
4 Pd 0.0000 0.3579 0.0000  1 Hf 2.74, 4 In 2.90, 4 Pd 2.95
5 Pd 0.0000 0.7092 0.5000  2 Hf 2.70, 2 In 2.72, 4 Pd 2.95
6 Pd 0.2908 0.2908 0.5000  2 Hf 2.70, 2 In 2.72, 4 Pd 2.95
7 Pd 0.3579 0.0000 0.0000  1 Hf 2.74, 4 In 2.90, 4 Pd 2.95
8 Pd 0.6421 0.6421 0.0000  1 Hf 2.74, 4 In 2.90, 4 Pd 2.95
9 Pd 0.7092 0.0000 0.5000  2 Hf 2.70, 2 In 2.72, 4 Pd 2.95

---

DFT (PBE) results for a relaxed Hf2InPd crystal.

Values from the calculation:
Total magnetic moment   0.00 μB/cell
Symmetry   P4/mmm
Final energy   -29.36 eV per cell
Energy relative to the elements   -147 kJ/mol of formula units

Cell lengths 3.1389, 3.1389, 8.1012 Å; angles 90.00, 90.00, 90.00 degrees
Last column: nearest neighbours and their distance in Å.
Atoms (fractional coordinates):
1 Hf 0.0000 0.0000 0.2264  4 Pd 2.88, 4 In 3.14, 4 Hf 3.14
2 Hf 0.0000 0.0000 0.7736  4 Pd 2.88, 4 In 3.14, 4 Hf 3.14
3 In 0.5000 0.5000 0.5000  8 Hf 3.14, 4 In 3.14
4 Pd 0.5000 0.5000 0.0000  8 Hf 2.88, 4 Pd 3.14

---

energy relative to the elements of number 8 (Hf3InPd4)?
-482 kJ/mol of formula units

---

The lowest final energy belongs to which entry?
Hf2InPd3